# PBE SrMg2GeRh, relaxed
data_SrMg2GeRh
_chemical_formula_sum 'Sr1 Mg2 Ge1 Rh1'
_space_group_name_H-M_alt 'P 4/m m m'
_space_group_IT_number 123
_space_group_name_Hall '-P 4 2'
_cell_length_a 5.014
_cell_length_b 5.014
_cell_length_c 4.809
_cell_angle_alpha 90.00
_cell_angle_beta 90.00
_cell_angle_gamma 90.00
loop_
_atom_site_label
_atom_site_type_symbol
_atom_site_fract_x
_atom_site_fract_y
_atom_site_fract_z
_atom_site_occupancy
Sr1 Sr 0.000 0.000 0.000 1
Mg1 Mg 0.000 0.500 0.500 1
Ge1 Ge 0.500 0.500 0.000 1
Rh1 Rh 0.500 0.500 0.500 1
# - Magnetization: 0.00 μB/f.u.
# - ΔE_f: -1.8 eV/f.u.

# PBE SrMg2GeRh2, relaxed
data_SrMg2GeRh2
_chemical_formula_sum 'Sr1 Mg2 Ge1 Rh2'
_space_group_name_H-M_alt 'P 4/m m m'
_space_group_IT_number 123
_space_group_name_Hall '-P 4 2'
_cell_length_a 4.695
_cell_length_b 4.695
_cell_length_c 6.249
_cell_angle_alpha 90.00
_cell_angle_beta 90.00
_cell_angle_gamma 90.00
loop_
_atom_site_label
_atom_site_type_symbol
_atom_site_fract_x
_atom_site_fract_y
_atom_site_fract_z
_atom_site_occupancy
Sr1 Sr 0.000 0.000 0.000 1
Mg1 Mg 0.500 0.500 0.262 1
Ge1 Ge 0.000 0.000 0.500 1
Rh1 Rh 0.000 0.500 0.500 1
# - Magnetization: 0.41 μB/f.u.
# - ΔE_f: -2.2 eV/f.u.

# PBE Tb2MgGe2Rh5, relaxed
data_Tb2MgGe2Rh5
_chemical_formula_sum 'Tb4 Mg2 Ge4 Rh10'
_space_group_name_H-M_alt 'P 4/m b m'
_space_group_IT_number 127
_space_group_name_Hall '-P 4 2ab'
_cell_length_a 9.884
_cell_length_b 9.884
_cell_length_c 3.562
_cell_angle_alpha 90.00
_cell_angle_beta 90.00
_cell_angle_gamma 90.00
loop_
_atom_site_label
_atom_site_type_symbol
_atom_site_fract_x
_atom_site_fract_y
_atom_site_fract_z
_atom_site_occupancy
Tb1 Tb 0.173 0.327 0.000 1
Mg1 Mg 0.000 0.000 0.000 1
Ge1 Ge 0.126 0.626 0.000 1
Rh1 Rh 0.000 0.500 0.500 1
Rh2 Rh 0.067 0.789 0.500 1
# - Magnetization: 0.00 μB/f.u.
# - ΔE_f: -7.8 eV/f.u.

# PBE MgTcGeRh, relaxed
data_MgTcGeRh
_chemical_formula_sum 'Mg4 Tc4 Ge4 Rh4'
_space_group_name_H-M_alt 'F -4 3 m'
_space_group_IT_number 216
_space_group_name_Hall 'F -4 2 3'
_cell_length_a 6.143
_cell_length_b 6.143
_cell_length_c 6.143
_cell_angle_alpha 90.00
_cell_angle_beta 90.00
_cell_angle_gamma 90.00
loop_
_atom_site_label
_atom_site_type_symbol
_atom_site_fract_x
_atom_site_fract_y
_atom_site_fract_z
_atom_site_occupancy
Mg1 Mg 0.000 0.000 0.000 1
Tc1 Tc 0.250 0.250 0.750 1
Ge1 Ge 0.000 0.000 0.500 1
Rh1 Rh 0.250 0.250 0.250 1
# - Magnetization: 0.00 μB/f.u.
# - ΔE_f: -0.9 eV/f.u.

# PBE Th4MgGe3Rh12, relaxed
data_Th4MgGe3Rh12
_chemical_formula_sum 'Th8 Mg2 Ge6 Rh24'
_space_group_name_H-M_alt 'I m -3 m'
_space_group_IT_number 229
_space_group_name_Hall '-I 4 2 3'
_cell_length_a 9.191
_cell_length_b 9.191
_cell_length_c 9.191
_cell_angle_alpha 90.00
_cell_angle_beta 90.00
_cell_angle_gamma 90.00
loop_
_atom_site_label
_atom_site_type_symbol
_atom_site_fract_x
_atom_site_fract_y
_atom_site_fract_z
_atom_site_occupancy
Th1 Th 0.250 0.250 0.250 1
Mg1 Mg 0.000 0.000 0.000 1
Ge1 Ge 0.000 0.000 0.500 1
Rh1 Rh 0.000 0.000 0.252 1
Rh2 Rh 0.000 0.250 0.500 1
# - Magnetization: 0.00 μB/f.u.
# - ΔE_f: -7.3 eV/f.u.

# PBE Th2Mg2Ge4Rh, relaxed
data_Th2Mg2Ge4Rh
_chemical_formula_sum 'Th4 Mg4 Ge8 Rh2'
_space_group_name_H-M_alt 'I 4/m m m'
_space_group_IT_number 139
_space_group_name_Hall '-I 4 2'
_cell_length_a 6.631
_cell_length_b 6.631
_cell_length_c 8.566
_cell_angle_alpha 90.00
_cell_angle_beta 90.00
_cell_angle_gamma 90.00
loop_
_atom_site_label
_atom_site_type_symbol
_atom_site_fract_x
_atom_site_fract_y
_atom_site_fract_z
_atom_site_occupancy
Th1 Th 0.000 0.500 0.250 1
Mg1 Mg 0.000 0.000 0.201 1
Ge1 Ge 0.235 0.235 0.000 1
Rh1 Rh 0.000 0.000 0.500 1
# - Magnetization: 0.00 μB/f.u.
# - ΔE_f: -4.5 eV/f.u.

# PBE Tm2MgGe2Rh5, relaxed
data_Tm2MgGe2Rh5
_chemical_formula_sum 'Tm4 Mg2 Ge4 Rh10'
_space_group_name_H-M_alt 'P 4/m b m'
_space_group_IT_number 127
_space_group_name_Hall '-P 4 2ab'
_cell_length_a 9.786
_cell_length_b 9.786
_cell_length_c 3.552
_cell_angle_alpha 90.00
_cell_angle_beta 90.00
_cell_angle_gamma 90.00
loop_
_atom_site_label
_atom_site_type_symbol
_atom_site_fract_x
_atom_site_fract_y
_atom_site_fract_z
_atom_site_occupancy
Tm1 Tm 0.173 0.327 0.000 1
Mg1 Mg 0.000 0.000 0.000 1
Ge1 Ge 0.127 0.627 0.000 1
Rh1 Rh 0.000 0.500 0.500 1
Rh2 Rh 0.068 0.790 0.500 1
# - Magnetization: 0.00 μB/f.u.
# - ΔE_f: -8.1 eV/f.u.

# PBE TmMgGe2Rh2, relaxed
data_TmMgGe2Rh2
_chemical_formula_sum 'Tm1 Mg1 Ge2 Rh2'
_space_group_name_H-M_alt 'P -3 m 1'
_space_group_IT_number 164
_space_group_name_Hall '-P 3 2"'
_cell_length_a 4.2829
_cell_length_b 4.2829
_cell_length_c 6.5506
_cell_angle_alpha 90.00
_cell_angle_beta 90.00
_cell_angle_gamma 120.00
loop_
_atom_site_label
_atom_site_type_symbol
_atom_site_fract_x
_atom_site_fract_y
_atom_site_fract_z
_atom_site_occupancy
Tm1 Tm 0.0000 0.0000 0.0000 1
Mg1 Mg 0.0000 0.0000 0.5000 1
Ge1 Ge 0.3333 0.6667 0.2553 1
Rh1 Rh 0.3333 0.6667 0.6496 1
# - Magnetization: 0.00 μB/f.u.
# - ΔE_f: -4.5 eV/f.u.

Repeat the fourth record exactly.
# PBE MgTcGeRh, relaxed
data_MgTcGeRh
_chemical_formula_sum 'Mg4 Tc4 Ge4 Rh4'
_space_group_name_H-M_alt 'F -4 3 m'
_space_group_IT_number 216
_space_group_name_Hall 'F -4 2 3'
_cell_length_a 6.143
_cell_length_b 6.143
_cell_length_c 6.143
_cell_angle_alpha 90.00
_cell_angle_beta 90.00
_cell_angle_gamma 90.00
loop_
_atom_site_label
_atom_site_type_symbol
_atom_site_fract_x
_atom_site_fract_y
_atom_site_fract_z
_atom_site_occupancy
Mg1 Mg 0.000 0.000 0.000 1
Tc1 Tc 0.250 0.250 0.750 1
Ge1 Ge 0.000 0.000 0.500 1
Rh1 Rh 0.250 0.250 0.250 1
# - Magnetization: 0.00 μB/f.u.
# - ΔE_f: -0.9 eV/f.u.

Question: Among the records above, which one has the lowest ΔE_f?
Answer: Tm2MgGe2Rh5

Question: What is the magnetization in the eighth record?
Answer: 0.00 μB/f.u.

Copy entry 7 word for word.
# PBE Tm2MgGe2Rh5, relaxed
data_Tm2MgGe2Rh5
_chemical_formula_sum 'Tm4 Mg2 Ge4 Rh10'
_space_group_name_H-M_alt 'P 4/m b m'
_space_group_IT_number 127
_space_group_name_Hall '-P 4 2ab'
_cell_length_a 9.786
_cell_length_b 9.786
_cell_length_c 3.552
_cell_angle_alpha 90.00
_cell_angle_beta 90.00
_cell_angle_gamma 90.00
loop_
_atom_site_label
_atom_site_type_symbol
_atom_site_fract_x
_atom_site_fract_y
_atom_site_fract_z
_atom_site_occupancy
Tm1 Tm 0.173 0.327 0.000 1
Mg1 Mg 0.000 0.000 0.000 1
Ge1 Ge 0.127 0.627 0.000 1
Rh1 Rh 0.000 0.500 0.500 1
Rh2 Rh 0.068 0.790 0.500 1
# - Magnetization: 0.00 μB/f.u.
# - ΔE_f: -8.1 eV/f.u.